[1]
Material: In2Pd3Au2
Method: DFT, PBE
State: relaxed

Results
**DOS at the Fermi energy**: 0.394 states/eV per atom
**DFT formation energy**: -327 meV per atom

Lattice parameters (Å, degrees): 4.1193 5.0108 6.6870 99.25 90.00 114.27
Fractional positions:
Au  0.9179  0.8358  0.2806
Au  0.0821  0.1642  0.7194
Pd  0.5000  0.0000  0.0000
Pd  0.3646  0.7293  0.5719
Pd  0.6354  0.2707  0.4281
In  0.7958  0.5915  0.8265
In  0.2042  0.4085  0.1735

[2]
Material: In2Pd3Au3
Method: DFT, PBE
State: relaxed

Results
**DOS at the Fermi energy**: 0.443 states/eV per atom
**DFT formation energy**: -345 meV per atom

Lattice parameters (Å, degrees): 4.1779 4.1773 8.0489 90.00 90.00 90.00
Fractional positions:
Au  0.5000  0.0000  0.0000
Au  0.5000  0.5000  0.7462
Au  0.5000  0.5000  0.2538
In  0.0000  0.0000  0.2593
In  0.0000  0.0000  0.7407
Pd  0.5000  0.0000  0.5000
Pd  0.0000  0.5000  0.0000
Pd  0.0000  0.5000  0.5000

[3]
Material: InPd6Au5
Method: DFT, PBE
State: relaxed

Results
**DOS at the Fermi energy**: 0.308 states/eV per atom
**DFT formation energy**: -206 meV per atom

Lattice parameters (Å, degrees): 4.2798 7.7081 7.7081 112.99 106.17 106.17
Fractional positions:
Au  0.0000  0.3347  0.6653
Au  0.0000  0.6653  0.3347
Au  0.5000  0.8293  0.1707
Au  0.5000  0.5000  0.5000
Au  0.5000  0.1707  0.8293
Pd  0.7526  0.9180  0.5872
Pd  0.2474  0.4128  0.0820
Pd  0.2474  0.0820  0.4128
Pd  0.2554  0.7556  0.7556
Pd  0.7446  0.2444  0.2444
Pd  0.7526  0.5872  0.9180
In  0.0000  0.0000  0.0000

[4]
Material: InPd4Au7
Method: DFT, PBE
State: relaxed

Results
**DOS at the Fermi energy**: 0.509 states/eV per atom
**DFT formation energy**: 62 meV per atom

Lattice parameters (Å, degrees): 5.0963 8.9558 5.8127 83.22 64.00 73.47
Fractional positions:
In  0.0000  0.0000  0.0000
Pd  0.7271  0.6860  0.8598
Pd  0.5799  0.2308  0.6094
Pd  0.2729  0.3140  0.1402
Pd  0.4201  0.7692  0.3906
Au  0.5000  0.0000  0.0000
Au  0.6582  0.4529  0.2308
Au  0.7955  0.9168  0.4922
Au  0.9597  0.3791  0.7014
Au  0.3418  0.5471  0.7692
Au  0.0403  0.6209  0.2986
Au  0.2045  0.0832  0.5078

[5]
Material: InPd2Au8
Method: DFT, PBE
State: relaxed

Results
**DOS at the Fermi energy**: 0.322 states/eV per atom
**DFT formation energy**: -93 meV per atom

Lattice parameters (Å, degrees): 4.2021 6.5953 7.6567 105.66 105.93 90.00
Fractional positions:
Pd  0.7729  0.3634  0.5458
Pd  0.2271  0.6366  0.4542
Au  0.8604  0.8087  0.7208
Au  0.1396  0.1913  0.2792
Au  0.9525  0.2745  0.9050
Au  0.4048  0.5429  0.8097
Au  0.6830  0.9109  0.3660
Au  0.5952  0.4571  0.1903
Au  0.3170  0.0891  0.6340
Au  0.0475  0.7255  0.0950
In  0.5000  0.0000  0.0000

[6]
Material: In2Pd3Au
Method: DFT, PBE
State: relaxed

Results
**DOS at the Fermi energy**: 0.375 states/eV per atom
**DFT formation energy**: -279 meV per atom

Lattice parameters (Å, degrees): 8.7027 8.7027 8.5834 120.46 120.46 90.00
Fractional positions:
Pd  0.9641  0.0359  0.5000
Pd  0.1250  0.8750  0.7500
Pd  0.6250  0.8750  0.7500
Pd  0.2859  0.2859  0.0000
Pd  0.9641  0.4641  0.5000
Pd  0.1250  0.8750  0.2500
Pd  0.5359  0.4641  0.5000
Pd  0.1250  0.3750  0.2500
Pd  0.2859  0.7141  0.0000
Pd  0.7141  0.7141  0.0000
Pd  0.7141  0.2859  0.0000
Pd  0.5359  0.0359  0.5000
Au  0.6199  0.6199  0.2397
Au  0.6301  0.1301  0.2603
Au  0.8699  0.3699  0.7397
Au  0.3801  0.3801  0.7603
In  0.3367  0.6492  0.2983
In  0.9133  0.1008  0.2017
In  0.2884  0.1008  0.2017
In  0.8992  0.7116  0.7983
In  0.3508  0.6633  0.7017
In  0.9616  0.6492  0.2983
In  0.8992  0.0867  0.7983
In  0.3508  0.0384  0.7017

[7]
Material: In2Pd5Au
Method: DFT, PBE
State: relaxed

Results
**DOS at the Fermi energy**: 0.406 states/eV per atom
**DFT formation energy**: -441 meV per atom

Lattice parameters (Å, degrees): 4.1541 5.6931 11.3710 90.00 90.00 90.00
Fractional positions:
Pd  0.0000  0.5260  0.2487
Pd  0.5000  0.7667  0.3782
Pd  0.0000  0.0260  0.2513
Pd  0.5000  0.2667  0.1218
Pd  0.0000  0.0000  0.0000
Pd  0.0000  0.4740  0.7513
Pd  0.5000  0.2333  0.6218
Pd  0.0000  0.9740  0.7487
Pd  0.0000  0.5000  0.5000
Pd  0.5000  0.7333  0.8782
Au  0.0000  0.5000  0.0000
Au  0.0000  0.0000  0.5000
In  0.5000  0.2246  0.8687
In  0.5000  0.7754  0.1313
In  0.5000  0.2754  0.3687
In  0.5000  0.7246  0.6313

[8]
Material: InPd7Au2
Method: DFT, PBE
State: relaxed

Results
**DOS at the Fermi energy**: 1.629 states/eV per atom
**DFT formation energy**: 279 meV per atom

Lattice parameters (Å, degrees): 4.3693 7.6272 7.6272 123.02 90.00 90.00
Fractional positions:
Au  0.5000  0.7001  0.2999
Au  0.5000  0.2999  0.7001
Pd  0.5000  0.5000  0.5000
Pd  0.5000  0.7157  0.9216
Pd  0.5000  0.0784  0.2843
Pd  0.0000  0.1928  0.8072
Pd  0.5000  0.9216  0.7157
Pd  0.5000  0.2843  0.0784
Pd  0.0000  0.8072  0.1928
In  0.0000  0.0000  0.0000

[9]
Material: In4PdAu
Method: DFT, PBE
State: relaxed

Results
**DOS at the Fermi energy**: 0.480 states/eV per atom
**DFT formation energy**: -322 meV per atom

Lattice parameters (Å, degrees): 4.6265 4.6272 6.5614 90.00 89.99 90.00
Fractional positions:
In  0.5014  0.9975  0.7397
In  0.0014  0.4974  0.7397
In  0.0012  0.4972  0.2566
In  0.5013  0.9971  0.2565
Au  0.5013  0.4973  0.9981
Pd  0.0013  0.9973  0.4981

[10]
Material: In4PdAu7
Method: DFT, PBE
State: relaxed

Results
**DOS at the Fermi energy**: 0.297 states/eV per atom
**DFT formation energy**: -174 meV per atom

Lattice parameters (Å, degrees): 5.6466 7.1854 6.9532 115.99 83.71 81.39
Fractional positions:
Pd  0.0000  0.0000  0.0000
Au  0.5725  0.4762  0.2773
Au  0.2263  0.7515  0.1717
Au  0.4275  0.5238  0.7227
Au  0.8264  0.7963  0.5299
Au  0.7737  0.2485  0.8283
Au  0.5000  0.0000  0.0000
Au  0.1736  0.2037  0.4701
In  0.6971  0.1140  0.3881
In  0.8962  0.6078  0.8257
In  0.3029  0.8860  0.6119
In  0.1038  0.3922  0.1743